1.
{"formula": "Tm2ZnAg", "functional": "GGA-PBE", "state": "relaxed", "dos_at_fermi_per_ev_cell": 4.574, "relative_energy_mev_per_atom": 250, "space_group": "No. 166", "m_tot_mub_per_atom": 0.000, "lattice": [[1.7636, 1.0182, 9.0194], [-1.7636, 1.0182, 9.0194], [0.0000, -2.0365, 9.0194]], "species": ["Tm", "Tm", "Zn", "Ag"], "fractional_positions": [[0.2480, 0.2480, 0.2480], [0.7520, 0.7520, 0.7520], [0.5000, 0.5000, 0.5000], [0.0000, 0.0000, 0.0000]]}

---

2.
{"formula": "Tm3Zn2Ag2", "functional": "GGA-PBE", "state": "relaxed", "dos_at_fermi_per_ev_cell": 4.365, "space_group": "No. 65", "final_energy_ev_per_cell": -23.6, "m_tot_mub_per_atom": 0.000, "lattice": [[1.9927, -10.9244, 0.0000], [1.9927, 10.9244, 0.0000], [0.0000, 0.0000, 3.5222]], "species": ["Tm", "Tm", "Tm", "Zn", "Zn", "Ag", "Ag"], "fractional_positions": [[0.0000, 0.0000, 0.0000], [0.1583, 0.8417, 0.0000], [0.8417, 0.1583, 0.0000], [0.2823, 0.7177, 0.5000], [0.7177, 0.2823, 0.5000], [0.4194, 0.5806, 0.5000], [0.5806, 0.4194, 0.5000]]}

---

3.
{"formula": "TmZn3Ag9", "functional": "GGA-PBE", "state": "relaxed", "dos_at_fermi_per_ev_cell": 4.826, "space_group": "No. 12", "final_energy_ev_per_cell": -35.2, "m_tot_mub_per_atom": 0.000, "lattice": [[2.6515, -6.6482, 0.0000], [2.6515, 6.6482, 0.0000], [-2.3390, 0.0000, 6.6778]], "species": ["Tm", "Zn", "Zn", "Zn", "Ag", "Ag", "Ag", "Ag", "Ag", "Ag", "Ag", "Ag", "Ag"], "fractional_positions": [[0.0000, 0.0000, 0.0000], [0.0000, 0.5000, 0.0000], [0.5000, 0.0000, 0.0000], [0.5000, 0.5000, 0.5000], [0.0000, 0.0000, 0.5000], [0.0217, 0.6669, 0.6588], [0.3014, 0.5166, 0.7890], [0.3331, 0.9783, 0.3412], [0.4834, 0.6986, 0.2110], [0.5166, 0.3014, 0.7890], [0.6669, 0.0217, 0.6588], [0.6986, 0.4834, 0.2110], [0.9783, 0.3331, 0.3412]]}

---

4.
{"formula": "Tm4ZnAg", "functional": "GGA-PBE", "state": "relaxed", "dos_at_fermi_per_ev_cell": 8.019, "relative_energy_mev_per_atom": 0, "space_group": "No. 123", "m_tot_mub_per_atom": 0.180, "lattice": [[3.5165, 0.0000, 0.0000], [0.0000, 3.5165, 0.0000], [0.0000, 0.0000, 12.2777]], "species": ["Tm", "Tm", "Tm", "Tm", "Zn", "Ag"], "fractional_positions": [[0.0000, 0.0000, 0.1427], [0.0000, 0.0000, 0.8573], [0.5000, 0.5000, 0.3489], [0.5000, 0.5000, 0.6511], [0.5000, 0.5000, 0.0000], [0.0000, 0.0000, 0.5000]]}